No. 1
The following is a GGA-PBE calculation of an optimized crystal structure of MgTaIr, from Alexandria via LeMat-Bulk.

Unit cell a=5.692 b=5.692 c=3.123 alpha=74.07 beta=74.07 gamma=31.85
Sites, in units of the cell vectors:
Ir 0.007 0.007 0.993
Mg 0.343 0.343 0.657
Ta 0.650 0.650 0.350

DFT formation energy: -0.23 eV per atom
Theoretical density: 12.90 g cm⁻³

***

No. 2
The following is a GGA-PBE calculation of an optimized crystal structure of Nd2ThI, from Alexandria via LeMat-Bulk.

Unit cell a=3.745 b=3.745 c=9.716 alpha=90.00 beta=90.00 gamma=90.00
Sites, in units of the cell vectors:
Th 0.500 0.500 0.000
Nd 0.000 0.000 0.248
Nd 0.000 0.000 0.752
I 0.500 0.500 0.500

E_form (uncorrected): -0.341 eV/atom
Theoretical density: 7.89 g cm⁻³

***

No. 3
The following is a GGA-PBE calculation of an optimized crystal structure of ZnPBr2, from Alexandria via LeMat-Bulk.

Unit cell a=3.510 b=4.074 c=6.680 alpha=90.00 beta=90.00 gamma=90.00
Sites, in units of the cell vectors:
Br 0.000 0.000 0.000
Br 0.500 0.000 0.500
P 0.500 0.500 0.000
Zn 0.000 0.500 0.500

E_form (uncorrected): 0.329 eV/atom
Theoretical density: 4.45 g cm⁻³

***

No. 4
The following is a GGA-PBE calculation of an optimized crystal structure of SbS3I, from Alexandria via LeMat-Bulk.

Unit cell a=5.064 b=5.064 c=5.064 alpha=90.00 beta=90.00 gamma=90.00
Sites, in units of the cell vectors:
S 0.000 0.500 0.000
S 0.000 0.000 0.500
Sb 0.000 0.000 0.000
S 0.500 0.000 0.000
I 0.500 0.500 0.500

E_form (uncorrected): 0.617 eV/atom
Theoretical density: 4.41 g cm⁻³

***

No. 5
The following is a GGA-PBE calculation of an optimized crystal structure of ZnAgRu, from Alexandria via LeMat-Bulk.

Unit cell a=4.194 b=4.194 c=4.194 alpha=60.00 beta=60.00 gamma=60.00
Sites, in units of the cell vectors:
Ru 0.500 0.500 0.500
Zn 0.750 0.750 0.750
Ag 0.000 0.000 0.000

DFT formation energy: 0.63 eV per atom
Theoretical density: 8.73 g cm⁻³

***

No. 6
The following is a GGA-PBE calculation of an optimized crystal structure of K3Hg7Bi, from Alexandria via LeMat-Bulk.

Unit cell a=5.214 b=12.215 c=11.769 alpha=90.00 beta=90.00 gamma=102.32
Sites, in units of the cell vectors:
Hg 0.773 0.546 0.568
K 0.082 0.164 0.059
Hg 0.227 0.454 0.068
Hg 0.227 0.454 0.432
Hg 0.493 0.986 0.376
K 0.918 0.836 0.559
Hg 0.507 0.014 0.624
K 0.918 0.836 0.941
Hg 0.773 0.546 0.932
Bi 0.940 0.880 0.250
K 0.221 0.441 0.750
Bi 0.060 0.120 0.750
Hg 0.631 0.261 0.250
Hg 0.642 0.284 0.886
Hg 0.358 0.716 0.114
Hg 0.358 0.716 0.386
Hg 0.642 0.284 0.614
Hg 0.493 0.986 0.124
K 0.082 0.164 0.441
K 0.779 0.559 0.250
Hg 0.507 0.014 0.876
Hg 0.369 0.739 0.750

DFT formation energy: -0.21 eV per atom
Theoretical density: 7.85 g cm⁻³

***

No. 7
The following is a GGA-PBE calculation of an optimized crystal structure of HoInGa2Pd2, from Alexandria via LeMat-Bulk.

Unit cell a=4.443 b=4.443 c=6.628 alpha=90.00 beta=90.00 gamma=120.00
Sites, in units of the cell vectors:
Ga 0.667 0.333 0.254
Pd 0.667 0.333 0.792
Pd 0.333 0.667 0.208
In 0.000 0.000 0.000
Ho 0.000 0.000 0.500
Ga 0.333 0.667 0.746

DFT formation energy: -0.64 eV per atom
Theoretical density: 9.26 g cm⁻³

***

No. 8
The following is a GGA-PBE calculation of an optimized crystal structure of Mg2MnFe2, from Alexandria via LeMat-Bulk.

Unit cell a=5.897 b=5.897 c=4.327 alpha=90.00 beta=90.00 gamma=90.00
Sites, in units of the cell vectors:
Fe 0.129 0.371 0.000
Mg 0.676 0.824 0.500
Fe 0.871 0.629 0.000
Fe 0.371 0.871 0.000
Mn 0.500 0.500 0.000
Fe 0.629 0.129 0.000
Mg 0.176 0.676 0.500
Mn 0.000 0.000 0.000
Mg 0.824 0.324 0.500
Mg 0.324 0.176 0.500

DFT formation energy: 0.31 eV per atom
Theoretical density: 4.75 g cm⁻³

***

No. 9
The following is a GGA-PBE calculation of an optimized crystal structure of PrHo6Er3, from Alexandria via LeMat-Bulk.

Unit cell a=9.758 b=9.758 c=6.850 alpha=44.59 beta=44.59 gamma=60.00
Sites, in units of the cell vectors:
Er 0.399 0.399 0.804
Ho 0.732 0.070 0.796
Ho 0.235 0.902 0.297
Ho 0.070 0.402 0.796
Ho 0.402 0.732 0.796
Er 0.151 0.151 0.546
Er 0.644 0.644 0.068
Ho 0.566 0.235 0.297
Pr 0.900 0.900 0.301
Ho 0.902 0.566 0.297

DFT formation energy: 0.28 eV per atom
Theoretical density: 8.43 g cm⁻³

***

No. 10
The following is a GGA-PBE calculation of an optimized crystal structure of TbTl2Br6, from Alexandria via LeMat-Bulk.

Unit cell a=4.045 b=8.386 c=9.235 alpha=117.00 beta=90.00 gamma=90.00
Sites, in units of the cell vectors:
Tl 0.000 0.331 0.675
Br 0.500 0.609 0.000
Tl 0.000 0.656 0.325
Br 0.500 0.430 0.414
Tb 0.500 0.968 0.000
Br 0.000 0.224 0.000
Br 0.000 0.766 0.766
Br 0.500 0.016 0.586
Br 0.000 0.000 0.234

E_form (uncorrected): -1.115 eV/atom
Theoretical density: 6.23 g cm⁻³

***

No. 11
The following is a GGA-PBE calculation of an optimized crystal structure of Sr4AlZn, from Alexandria via LeMat-Bulk.

Unit cell a=3.983 b=3.983 c=14.347 alpha=90.00 beta=90.00 gamma=90.00
Sites, in units of the cell vectors:
Sr 0.000 0.000 0.368
Al 0.000 0.000 0.000
Sr 0.500 0.500 0.867
Sr 0.000 0.000 0.632
Zn 0.500 0.500 0.500
Sr 0.500 0.500 0.133

DFT formation energy: -0.11 eV per atom
Theoretical density: 3.23 g cm⁻³

***

No. 12
The following is a GGA-PBE calculation of an optimized crystal structure of CsBa2Sn2, from Alexandria via LeMat-Bulk.

Unit cell a=6.137 b=6.137 c=7.862 alpha=67.03 beta=67.03 gamma=90.00
Sites, in units of the cell vectors:
Sn 0.391 0.391 0.218
Ba 0.750 0.250 0.500
Ba 0.250 0.750 0.500
Sn 0.609 0.609 0.782
Cs 0.000 0.000 0.000

DFT formation energy: -0.32 eV per atom
Theoretical density: 4.34 g cm⁻³